CuNiAs2O6: optimized geometry, GGA+U.

Results
Uncorrected energy ... -0.403 Ry/atom
D(E_F) ... 1.407 states/eV/f.u.

a b c (Å): 5.5754 6.6665 6.6665
angles (deg): 85.71 79.17 79.17
Sites, in units of the cell vectors:
1 O 0.6297 0.4264 0.2918
2 O 0.8849 0.3717 0.8546
3 O 0.3849 0.8546 0.3717
4 O 0.6278 0.7984 0.9728
5 O 0.8722 0.0272 0.2016
6 O 0.6151 0.1454 0.6283
7 O 0.8703 0.7082 0.5736
8 O 0.3722 0.2016 0.0272
9 O 0.1278 0.9728 0.7984
10 O 0.3703 0.5736 0.7082
11 O 0.1151 0.6283 0.1454
12 O 0.1297 0.2918 0.4264
13 Cu 0.7500 0.7337 0.2663
14 Cu 0.2500 0.2663 0.7337
15 Ni 0.2500 0.9070 0.0930
16 Ni 0.7500 0.0930 0.9070
17 As 0.3085 0.4012 0.2074
18 As 0.8085 0.2074 0.4012
19 As 0.1915 0.7926 0.5988
20 As 0.6915 0.5988 0.7926